Computed, not measured: an optimized crystal structure of GaNi3Cl at the PBE level of DFT.

Results
E above lowest polymorph = 0.3013 eV per atom
Energy relative to the elements, uncorrected = 0.81 eV/atom
Magnetization = 0.49 μB per formula unit
D(E_F) = 8.863 states/eV/cell

Geometry as CIF:
```
data_GaNi3Cl
_space_group_name_H-M_alt 'P m -3 m'
_space_group_IT_number 221
_space_group_name_Hall '-P 4 2 3'
_cell_length_a 4.457
_cell_length_b 4.457
_cell_length_c 4.457
_cell_angle_alpha 90.00
_cell_angle_beta 90.00
_cell_angle_gamma 90.00
loop_
_atom_site_label
_atom_site_type_symbol
_atom_site_fract_x
_atom_site_fract_y
_atom_site_fract_z
Ga1 Ga 0.000 0.000 0.000
Ni1 Ni 0.000 0.000 0.500
Cl1 Cl 0.500 0.500 0.500
```



Computed, not measured: an optimized crystal structure of GaNi2Cl2 at the PBE level of DFT.

Results
E above lowest polymorph = 0.1200 eV per atom
Energy relative to the elements, uncorrected = 0.21 eV/atom
Magnetization = 1.02 μB per formula unit
D(E_F) = 18.981 states/eV/cell

Geometry as CIF:
```
data_GaNi2Cl2
_space_group_name_H-M_alt 'P 4/m b m'
_space_group_IT_number 127
_space_group_name_Hall '-P 4 2ab'
_cell_length_a 7.706
_cell_length_b 7.706
_cell_length_c 3.944
_cell_angle_alpha 90.00
_cell_angle_beta 90.00
_cell_angle_gamma 90.00
loop_
_atom_site_label
_atom_site_type_symbol
_atom_site_fract_x
_atom_site_fract_y
_atom_site_fract_z
Ga1 Ga 0.000 0.000 0.000
Ni1 Ni 0.222 0.278 0.500
Cl1 Cl 0.153 0.347 0.000
```



Computed, not measured: an optimized crystal structure of GaNiCl2 at the PBE level of DFT.

Results
E above lowest polymorph = 0.1342 eV per atom
Energy relative to the elements, uncorrected = -0.26 eV/atom
Magnetization = 1.00 μB per formula unit
D(E_F) = 32.371 states/eV/cell

Geometry as CIF:
```
data_GaNiCl2
_space_group_name_H-M_alt 'R -3 m'
_space_group_IT_number 166
_space_group_name_Hall '-R 3 2"'
_cell_length_a 4.4801
_cell_length_b 4.4801
_cell_length_c 21.8410
_cell_angle_alpha 90.00
_cell_angle_beta 90.00
_cell_angle_gamma 120.00
loop_
_atom_site_label
_atom_site_type_symbol
_atom_site_fract_x
_atom_site_fract_y
_atom_site_fract_z
Ga1 Ga 0.0000 0.0000 0.0000
Ni1 Ni 0.0000 0.0000 0.5000
Cl1 Cl 0.0000 0.0000 0.4037
```